Nd2Ho2CICl4 (PBE-GGA, relaxed); theoretical density = 5500 kg/m³; size of the total moment = 0.4 μB per formula unit; polymorph energy (0 for the lowest one) = 8 meV/atom; uncorrected energy = -5.25 eV/atom
1.0
8.721 -1.920 0.000
8.721 1.920 0.000
-2.322 0.000 8.104
Nd Ho C I Cl
2 2 1 1 4
Direct
0.149 0.149 0.088
0.851 0.851 0.912
0.500 0.500 0.192
0.500 0.500 0.808
0.000 0.000 0.000
0.000 0.000 0.500
0.335 0.335 0.156
0.340 0.340 0.661
0.660 0.660 0.339
0.665 0.665 0.844